# 1
Compound: NiAgTeI2
Source: Alexandria
Functional: PBE-GGA
Structure: relaxed

## Properties
ΔE to the lowest computed polymorph: 538 meV per atom
E_tot: -10.45 eV per cell
SG: No. 123

a b c (Å): 5.6042 5.6042 5.5860
angles (deg): 90.00 90.00 90.00
With the nearest neighbours (Å) after each atom.
Sites, in units of the cell vectors:
1 Ni 0.0000 0.0000 0.0000  8 I 3.96, 4 Te 3.96
2 Ag 0.5000 0.5000 0.5000  2 Te 2.79, 4 I 2.80
3 Te 0.5000 0.5000 0.0000  2 Ag 2.79
4 I 0.0000 0.5000 0.5000  2 Ag 2.80
5 I 0.5000 0.0000 0.5000  2 Ag 2.80



# 2
Compound: Ni2AgWI
Source: Alexandria
Functional: PBE-GGA
Structure: relaxed

## Properties
E_tot: -20.52 eV per cell
SG: No. 123

a b c (Å): 4.5419 4.5419 5.0154
angles (deg): 90.00 90.00 90.00
With the nearest neighbours (Å) after each atom.
Sites, in units of the cell vectors:
1 Ni 0.0000 0.5000 0.0000  2 I 2.27
2 Ni 0.5000 0.0000 0.0000  2 I 2.27
3 Ag 0.0000 0.0000 0.5000  4 W 3.21, 8 Ni 3.38
4 W 0.5000 0.5000 0.5000  2 I 2.51
5 I 0.5000 0.5000 0.0000  4 Ni 2.27, 2 W 2.51



# 3
Compound: NpAgI6
Source: Alexandria
Functional: PBE-GGA
Structure: relaxed

## Properties
ΔE to the lowest computed polymorph: 0 meV per atom
E_tot: -29.23 eV per cell
SG: No. 12

a b c (Å): 7.8631 7.8631 7.6263
angles (deg): 102.00 102.00 122.07
With the nearest neighbours (Å) after each atom.
Sites, in units of the cell vectors:
1 Np 0.0000 0.0000 0.0000  6 I 2.90-2.98
2 Ag 0.5000 0.5000 0.5000  4 I 2.93
3 I 0.0997 0.4106 0.2537  1 Ag 2.93, 1 Np 2.98
4 I 0.2248 0.2248 0.7740  1 Np 2.90
5 I 0.4106 0.0997 0.2537  1 Ag 2.93, 1 Np 2.98
6 I 0.5894 0.9003 0.7463  1 Ag 2.93, 1 Np 2.98
7 I 0.7752 0.7752 0.2260  1 Np 2.90
8 I 0.9003 0.5894 0.7463  1 Ag 2.93, 1 Np 2.98